1.
Material: AlP3W
Method: DFT, PBE-GGA
State: optimized geometry

Calculated values
Offset from the most stable computed form in eV/f.u.: 0.00
Energy of formation from the pure elements in eV/atom: 0.564

```
AlP3W
1.0
4.727 0.000 0.000
0.000 4.727 0.000
0.000 0.000 4.727
Al P W
1 3 1
direct
0.000 0.000 0.000
0.000 0.500 0.500
0.500 0.000 0.500
0.500 0.500 0.000
0.500 0.500 0.500
```



2.
Material: CdSbTe2Pb
Method: DFT, PBE-GGA
State: optimized geometry

Calculated values
Offset from the most stable computed form in eV/f.u.: 0.00
Formation energy from raw total energies in eV per atom: 0.3895

```
CdSbTe2Pb
1.0
5.655 0.000 0.000
0.000 5.655 0.000
0.000 0.000 5.459
Cd Sb Te Pb
1 1 2 1
direct
0.000 0.000 0.000
0.000 0.000 0.500
0.000 0.500 0.000
0.500 0.000 0.000
0.500 0.500 0.500
```



3.
Material: TlSbO2
Method: DFT, PBE-GGA
State: optimized geometry

Calculated values
Offset from the most stable computed form in eV/f.u.: 0.00
Formation energy from raw total energies in eV per atom: -1.0687

```
TlSbO2
1.0
6.668 -2.096 0.000
6.668 2.096 0.000
-0.716 0.000 6.898
Tl Sb O
2 2 4
direct
0.119 0.119 0.377
0.881 0.881 0.623
0.350 0.350 0.066
0.650 0.650 0.934
0.195 0.195 0.992
0.403 0.403 0.815
0.597 0.597 0.185
0.805 0.805 0.008
```



4.
Material: Li4NO
Method: DFT, PBE-GGA
State: optimized geometry

Calculated values
Offset from the most stable computed form in eV/f.u.: 0.00
Formation energy from raw total energies in eV per atom: -0.9625

```
Li4NO
1.0
4.420 0.000 0.000
-1.457 5.166 0.000
-0.702 -2.616 4.721
Li N O
8 2 2
direct
0.025 0.122 0.244
0.232 0.364 0.824
0.384 0.658 0.446
0.443 0.929 0.174
0.557 0.071 0.826
0.616 0.342 0.554
0.768 0.636 0.176
0.975 0.878 0.756
0.161 0.963 0.482
0.839 0.037 0.518
0.405 0.292 0.148
0.595 0.708 0.852
```



5.
Material: TaGe2Os
Method: DFT, PBE-GGA
State: optimized geometry

Calculated values
Offset from the most stable computed form in eV/f.u.: 0.00
Energy of formation from the pure elements in eV/atom: 0.214

```
TaGe2Os
1.0
0.000 3.145 3.145
3.145 0.000 3.145
3.145 3.145 0.000
Ta Ge Os
1 2 1
direct
0.000 0.000 0.000
0.250 0.250 0.250
0.750 0.750 0.750
0.500 0.500 0.500
```



6.
Material: V3CoW
Method: DFT, PBE-GGA
State: optimized geometry

Calculated values
Offset from the most stable computed form in eV/f.u.: 7.10
Energy of formation from the pure elements in eV/atom: 1.693

```
V3CoW
1.0
4.552 0.000 0.000
0.000 4.552 0.000
0.000 0.000 4.552
V Co W
3 1 1
direct
0.000 0.000 0.500
0.000 0.500 0.000
0.500 0.000 0.000
0.500 0.500 0.500
0.000 0.000 0.000
```



7.
Material: CsNa2TlRh
Method: DFT, PBE-GGA
State: optimized geometry

Calculated values
Energy of formation from the pure elements in eV/atom: 0.096

```
CsNa2TlRh
1.0
5.694 0.000 0.000
0.000 5.694 0.000
0.000 0.000 5.339
Cs Na Tl Rh
1 2 1 1
direct
0.000 0.000 0.000
0.000 0.500 0.500
0.500 0.000 0.500
0.500 0.500 0.000
0.500 0.500 0.500
```



8.
Material: PbCIO2
Method: DFT, PBE-GGA
State: optimized geometry

Calculated values
Offset from the most stable computed form in eV/f.u.: 0.20
Formation energy from raw total energies in eV per atom: 1.1098

```
PbCIO2
1.0
4.090 0.000 0.000
0.000 4.090 0.000
0.000 0.000 7.296
Pb C I O
1 1 1 2
direct
0.000 0.000 0.000
0.500 0.500 0.500
0.000 0.000 0.500
0.000 0.500 0.000
0.500 0.000 0.000
```



9.
Material: Na3PmPb12
Method: DFT, PBE-GGA
State: optimized geometry

Calculated values
Energy of formation from the pure elements in eV/atom: -0.177

```
Na3PmPb12
1.0
4.864 0.000 0.000
0.000 4.864 0.000
0.000 0.000 20.143
Na Pm Pb
3 1 12
direct
0.000 0.000 0.000
0.000 0.000 0.250
0.000 0.000 0.750
0.000 0.000 0.500
0.000 0.500 0.124
0.000 0.500 0.373
0.000 0.500 0.627
0.000 0.500 0.876
0.500 0.000 0.124
0.500 0.000 0.373
0.500 0.000 0.627
0.500 0.000 0.876
0.500 0.500 0.000
0.500 0.500 0.247
0.500 0.500 0.500
0.500 0.500 0.753
```



10.
Material: Pm3PrCu
Method: DFT, PBE-GGA
State: optimized geometry

Calculated values
Energy of formation from the pure elements in eV/atom: 0.118

```
Pm3PrCu
1.0
5.542 0.000 0.000
0.000 5.542 0.000
0.000 0.000 5.542
Pm Pr Cu
3 1 1
direct
0.000 0.000 0.500
0.000 0.500 0.000
0.500 0.000 0.000
0.500 0.500 0.500
0.000 0.000 0.000
```



11.
Material: ZrSc2Cr
Method: DFT, PBE-GGA
State: optimized geometry

Calculated values
Offset from the most stable computed form in eV/f.u.: 1.41
Energy of formation from the pure elements in eV/atom: 0.506

```
ZrSc2Cr
1.0
-3.862 3.862 2.921
3.862 -3.862 2.921
3.862 3.862 -2.921
Zr Sc Cr
2 4 2
direct
0.000 0.000 0.000
0.750 0.250 0.500
0.165 0.625 0.040
0.375 0.415 0.540
0.585 0.125 0.960
0.875 0.835 0.460
0.250 0.750 0.500
0.500 0.500 0.000
```



12.
Material: Li3Hg5O12
Method: DFT, PBE-GGA
State: optimized geometry

Calculated values
Formation energy from raw total energies in eV per atom: -0.0825

```
Li3Hg5O12
1.0
-6.509 6.509 6.509
6.509 -6.509 6.509
6.509 6.509 -6.509
Li Hg O
12 20 48
direct
0.125 0.250 0.375
0.125 0.375 0.750
0.250 0.375 0.125
0.250 0.875 0.625
0.375 0.125 0.250
0.375 0.750 0.125
0.625 0.250 0.875
0.625 0.875 0.750
0.750 0.125 0.375
0.750 0.625 0.875
0.875 0.625 0.250
0.875 0.750 0.625
0.000 0.000 0.000
0.000 0.000 0.500
0.000 0.500 0.000
0.000 0.500 0.500
0.125 0.750 0.875
0.125 0.875 0.250
0.250 0.125 0.875
0.250 0.625 0.375
0.375 0.250 0.625
0.375 0.625 0.750
0.500 0.000 0.000
0.500 0.000 0.500
0.500 0.500 0.000
0.500 0.500 0.500
0.625 0.375 0.250
0.625 0.750 0.375
0.750 0.375 0.625
0.750 0.875 0.125
0.875 0.125 0.750
0.875 0.250 0.125
0.017 0.640 0.188
0.017 0.877 0.829
0.048 0.171 0.688
0.048 0.377 0.360
0.123 0.171 0.983
0.123 0.452 0.140
0.140 0.123 0.452
0.140 0.517 0.688
0.171 0.688 0.048
0.171 0.983 0.123
0.188 0.017 0.640
0.188 0.671 0.548
0.312 0.860 0.483
0.312 0.952 0.829
0.329 0.377 0.517
0.329 0.452 0.812
0.360 0.048 0.377
0.360 0.812 0.983
0.377 0.360 0.048
0.377 0.517 0.329
0.452 0.140 0.123
0.452 0.812 0.329
0.483 0.312 0.860
0.483 0.671 0.623
0.517 0.329 0.377
0.517 0.688 0.140
0.548 0.188 0.671
0.548 0.860 0.877
0.623 0.483 0.671
0.623 0.640 0.952
0.640 0.188 0.017
0.640 0.952 0.623
0.671 0.548 0.188
0.671 0.623 0.483
0.688 0.048 0.171
0.688 0.140 0.517
0.812 0.329 0.452
0.812 0.983 0.360
0.829 0.017 0.877
0.829 0.312 0.952
0.860 0.483 0.312
0.860 0.877 0.548
0.877 0.548 0.860
0.877 0.829 0.017
0.952 0.623 0.640
0.952 0.829 0.312
0.983 0.123 0.171
0.983 0.360 0.812
```



13.
Material: LiThScHg
Method: DFT, PBE-GGA
State: optimized geometry

Calculated values
Energy of formation from the pure elements in eV/atom: -0.035

```
LiThScHg
1.0
0.000 3.660 3.660
3.660 0.000 3.660
3.660 3.660 0.000
Li Th Sc Hg
1 1 1 1
direct
0.000 0.000 0.000
0.250 0.250 0.250
0.750 0.750 0.750
0.500 0.500 0.500
```



14.
Material: Na2CoPd
Method: DFT, PBE-GGA
State: optimized geometry

Calculated values
Energy of formation from the pure elements in eV/atom: 0.623

```
Na2CoPd
1.0
-3.919 3.919 2.584
3.919 -3.919 2.584
3.919 3.919 -2.584
Na Co Pd
4 2 2
direct
0.121 0.625 0.996
0.375 0.371 0.496
0.629 0.125 0.004
0.875 0.879 0.504
0.250 0.750 0.500
0.500 0.500 0.000
0.000 0.000 0.000
0.750 0.250 0.500
```



15.
Material: Ti4As2C
Method: DFT, PBE-GGA
State: optimized geometry

Calculated values
Energy of formation from the pure elements in eV/atom: -0.871

```
Ti4As2C
1.0
6.477 0.000 0.000
0.000 9.819 0.000
0.000 0.000 3.398
Ti As C
8 4 2
direct
0.127 0.191 0.000
0.194 0.939 0.500
0.306 0.439 0.500
0.373 0.691 0.000
0.627 0.309 0.000
0.694 0.561 0.500
0.806 0.061 0.500
0.873 0.809 0.000
0.074 0.665 0.500
0.426 0.165 0.500
0.574 0.835 0.500
0.926 0.335 0.500
0.000 0.000 0.000
0.500 0.500 0.000
```



16.
Material: PmSn6Pd6
Method: DFT, PBE-GGA
State: optimized geometry

Calculated values
Offset from the most stable computed form in eV/f.u.: 0.20
Energy of formation from the pure elements in eV/atom: -0.576

```
PmSn6Pd6
1.0
5.797 0.000 0.000
-2.898 5.020 0.000
0.000 0.000 8.937
Pm Sn Pd
1 6 6
direct
0.000 0.000 0.000
0.000 0.000 0.340
0.000 0.000 0.660
0.333 0.667 0.000
0.333 0.667 0.500
0.667 0.333 0.000
0.667 0.333 0.500
0.000 0.500 0.249
0.000 0.500 0.751
0.500 0.000 0.249
0.500 0.000 0.751
0.500 0.500 0.249
0.500 0.500 0.751
```



17.
Material: AcPuRhBr
Method: DFT, PBE-GGA
State: optimized geometry

Calculated values
Formation energy from raw total energies in eV per atom: -0.8598

```
AcPuRhBr
1.0
2.059 1.189 8.176
-2.059 1.189 8.176
0.000 -2.378 8.176
Ac Pu Rh Br
1 1 1 1
direct
0.000 0.000 0.000
0.201 0.201 0.201
0.593 0.593 0.593
0.770 0.770 0.770
```



18.
Material: Ba5Si6
Method: DFT, PBE-GGA
State: optimized geometry

Calculated values
Formation energy from raw total energies in eV per atom: -0.4083

```
Ba5Si6
1.0
2.065 -15.714 0.000
2.065 15.714 0.000
0.000 0.000 5.076
Ba Si
5 6
direct
0.000 0.000 0.000
0.196 0.804 0.500
0.388 0.612 0.000
0.612 0.388 0.000
0.804 0.196 0.500
0.080 0.920 0.500
0.272 0.728 0.000
0.461 0.539 0.500
0.539 0.461 0.500
0.728 0.272 0.000
0.920 0.080 0.500
```



19.
Material: V2Cd2Rh
Method: DFT, PBE-GGA
State: optimized geometry

Calculated values
Offset from the most stable computed form in eV/f.u.: 1.22
Energy of formation from the pure elements in eV/atom: 0.649

```
V2Cd2Rh
1.0
7.264 0.000 0.000
0.000 7.264 0.000
0.000 0.000 3.207
V Cd Rh
4 4 2
direct
0.162 0.338 0.000
0.338 0.838 0.000
0.662 0.162 0.000
0.838 0.662 0.000
0.139 0.639 0.500
0.361 0.139 0.500
0.639 0.861 0.500
0.861 0.361 0.500
0.000 0.000 0.500
0.500 0.500 0.500
```



20.
Material: PuMnGeRu
Method: DFT, PBE-GGA
State: optimized geometry

Calculated values
Energy of formation from the pure elements in eV/atom: -0.207

```
PuMnGeRu
1.0
0.000 3.173 3.173
3.173 0.000 3.173
3.173 3.173 0.000
Pu Mn Ge Ru
1 1 1 1
direct
0.000 0.000 0.000
0.750 0.750 0.750
0.500 0.500 0.500
0.250 0.250 0.250
```



21.
Material: Na2Pr3TmS6
Method: DFT, PBE-GGA
State: optimized geometry

Calculated values
Formation energy from raw total energies in eV per atom: -1.8497

```
Na2Pr3TmS6
1.0
3.514 -6.078 0.000
3.514 6.078 0.000
-2.326 0.000 6.594
Na Pr Tm S
2 3 1 6
direct
0.165 0.835 0.000
0.835 0.165 0.000
0.000 0.000 0.500
0.329 0.671 0.500
0.671 0.329 0.500
0.500 0.500 0.000
0.099 0.420 0.761
0.262 0.262 0.246
0.420 0.099 0.761
0.580 0.901 0.239
0.738 0.738 0.754
0.901 0.580 0.239
```



Uncorrected energy? In order: -6.0212 -2.6164 -5.1700 -4.4523 -7.8655 -7.7897 -2.5458 -3.7699 -3.5021 -4.5070 -7.2022 -3.4200 -4.0265 -3.1113 -8.0284 -5.1851 -7.7260 -4.2403 -4.8349 -9.5558 -5.7008 eV per atom.